(1)
The following is a DFT calculation (GGA-PBE) of HfTa2HOs after structural relaxation.

Cell: 3.9778 3.9778 4.6851 Å, 90.00 90.00 90.00°
Last column: nearest neighbours and their distance in Å.
Fractional positions:
H 0.0000 0.0000 0.0000  4 Ta 1.99
Hf 0.0000 0.0000 0.5000  2 H 2.34
Ta 0.5000 0.0000 0.0000  2 H 1.99
Ta 0.0000 0.5000 0.0000  2 H 1.99
Os 0.5000 0.5000 0.5000  4 Hf 2.81, 8 Ta 3.07

Summary:
Its uncorrected energy is -9.74 eV/atom. As for the space group: P4/mmm (123).

---

(2)
The following is a DFT calculation (GGA-PBE) of Pr5SnGe2 after structural relaxation.

Cell: 8.1279 8.1279 9.2116 Å, 116.18 116.18 90.00°
Last column: nearest neighbours and their distance in Å.
Fractional positions:
Ge 0.1327 0.3673 0.0000  1 Ge 3.05, 8 Pr 3.08-3.19
Ge 0.8672 0.6328 0.0000  1 Ge 3.05, 8 Pr 3.08-3.19
Ge 0.3672 0.8673 0.0000  1 Ge 3.05, 8 Pr 3.08-3.19
Ge 0.6327 0.1328 0.0000  1 Ge 3.05, 8 Pr 3.08-3.19
Pr 0.9751 0.4751 0.2835  3 Ge 3.08-3.19, 2 Sn 3.41
Pr 0.5249 0.6916 0.7165  3 Ge 3.08-3.19, 2 Sn 3.41
Pr 0.8084 0.9751 0.2835  3 Ge 3.08-3.19, 2 Sn 3.41
Pr 0.5000 0.5000 0.0000  4 Ge 3.17
Pr 0.1916 0.0249 0.7165  3 Ge 3.08-3.19, 2 Sn 3.41
Pr 0.4751 0.3084 0.2835  3 Ge 3.08-3.19, 2 Sn 3.41
Pr 0.0000 0.0000 0.0000  4 Ge 3.17
Pr 0.3084 0.8084 0.2835  3 Ge 3.08-3.19, 2 Sn 3.41
Pr 0.6916 0.1916 0.7165  3 Ge 3.08-3.19, 2 Sn 3.41
Pr 0.0249 0.5249 0.7165  3 Ge 3.08-3.19, 2 Sn 3.41
Sn 0.2500 0.2500 0.5000  10 Pr 3.41-3.60
Sn 0.7500 0.7500 0.5000  10 Pr 3.41-3.60

Summary:
The calculation puts the formation energy at -0.699 eV per atom. As for the space group: I4/mcm (140).

---

(3)
The following is a DFT calculation (GGA-PBE) of AcTb2Al2Ga2 after structural relaxation.

Cell: 4.4343 4.4343 10.8268 Å, 78.18 78.18 60.00°
Last column: nearest neighbours and their distance in Å.
Fractional positions:
Tb 0.1311 0.1311 0.6066  3 Ga 2.95, 3 Al 3.20
Tb 0.8689 0.8689 0.3934  3 Ga 2.95, 3 Al 3.20
Al 0.5963 0.5963 0.2112  3 Ga 2.60
Al 0.4037 0.4037 0.7888  3 Ga 2.60
Ga 0.7511 0.7511 0.7467  3 Al 2.60
Ga 0.2489 0.2489 0.2533  3 Al 2.60
Ac 0.0000 0.0000 0.0000  6 Al 3.39, 6 Ga 3.70

Summary:
The calculation puts the formation energy at -0.389 eV per atom. As for the space group: R-3m (166).

---

(4)
The following is a DFT calculation (GGA-PBE) of RbTmGeCl6 after structural relaxation.

Cell: 6.9660 6.9658 7.2549 Å, 90.00 90.00 60.00°
Last column: nearest neighbours and their distance in Å.
Fractional positions:
Cl 0.3712 0.0082 0.7072  1 Tm 2.62, 1 Ge 2.69
Cl 0.6206 0.0082 0.2928  1 Tm 2.62, 1 Ge 2.69
Cl 0.0081 0.6207 0.7072  1 Tm 2.62, 1 Ge 2.69
Cl 0.3712 0.6207 0.2928  1 Tm 2.62, 1 Ge 2.69
Cl 0.0081 0.3712 0.2928  1 Tm 2.62, 1 Ge 2.69
Cl 0.6206 0.3712 0.7072  1 Tm 2.62, 1 Ge 2.69
Rb 0.0000 0.0000 0.0000  6 Cl 3.37
Tm 0.3334 0.3333 0.5000  6 Cl 2.62
Ge 0.6666 0.6667 0.5000  6 Cl 2.69

Summary:
As for the space group: P312 (149). The formation energy from raw total energies comes out at -1.76 eV per atom.